Entry 1:
# PmYTl2 PBE relaxed
# * calculated formation energy: -107 kJ/mol of formula units
# * ρ: 8.75 g/cm³
data_PmYTl2
_symmetry_space_group_name_H-M 'R -3 m'
_symmetry_Int_Tables_number 166
_symmetry_space_group_name_Hall '-R 3 2"'
_cell_length_a 3.8160
_cell_length_b 3.8160
_cell_length_c 29.0208
_cell_angle_alpha 90.00
_cell_angle_beta 90.00
_cell_angle_gamma 120.00
loop_
_atom_site_label
_atom_site_type_symbol
_atom_site_fract_x
_atom_site_fract_y
_atom_site_fract_z
Pm1 Pm 0.0000 0.0000 0.0000
Y1 Y 0.0000 0.0000 0.5000
Tl1 Tl 0.0000 0.0000 0.2484

Entry 2:
# Pm3YTl3 PBE relaxed
# * calculated formation energy: -193 kJ/mol of formula units
# * ρ: 8.78 g/cm³
data_Pm3YTl3
_symmetry_space_group_name_H-M 'P 21 3'
_symmetry_Int_Tables_number 198
_symmetry_space_group_name_Hall 'P 2ac 2ab 3'
_cell_length_a 9.511
_cell_length_b 9.511
_cell_length_c 9.511
_cell_angle_alpha 90.00
_cell_angle_beta 90.00
_cell_angle_gamma 90.00
loop_
_atom_site_label
_atom_site_type_symbol
_atom_site_fract_x
_atom_site_fract_y
_atom_site_fract_z
Pm1 Pm 0.070 0.430 0.570
Pm2 Pm 0.174 0.826 0.326
Pm3 Pm 0.176 0.176 0.176
Y1 Y 0.073 0.573 0.927
Tl1 Tl 0.001 0.253 0.869

Entry 3:
# PmY3Tl2 PBE relaxed
# * calculated formation energy: -136 kJ/mol of formula units
# * ρ: 7.53 g/cm³
data_PmY3Tl2
_symmetry_space_group_name_H-M 'I b a m'
_symmetry_Int_Tables_number 72
_symmetry_space_group_name_Hall '-I 2 2c'
_cell_length_a 6.555
_cell_length_b 16.906
_cell_length_c 6.533
_cell_angle_alpha 90.00
_cell_angle_beta 90.00
_cell_angle_gamma 90.00
loop_
_atom_site_label
_atom_site_type_symbol
_atom_site_fract_x
_atom_site_fract_y
_atom_site_fract_z
Pm1 Pm 0.000 0.000 0.250
Y1 Y 0.000 0.500 0.250
Y2 Y 0.247 0.322 0.000
Tl1 Tl 0.246 0.362 0.500

Entry 4:
# Pm3Y4Tl4 PBE relaxed
# * calculated formation energy: -279 kJ/mol of formula units
# * ρ: 7.83 g/cm³
data_Pm3Y4Tl4
_symmetry_space_group_name_H-M 'I m m m'
_symmetry_Int_Tables_number 71
_symmetry_space_group_name_Hall '-I 2 2'
_cell_length_a 3.823
_cell_length_b 9.764
_cell_length_c 18.282
_cell_angle_alpha 90.00
_cell_angle_beta 90.00
_cell_angle_gamma 90.00
loop_
_atom_site_label
_atom_site_type_symbol
_atom_site_fract_x
_atom_site_fract_y
_atom_site_fract_z
Pm1 Pm 0.000 0.000 0.000
Pm2 Pm 0.000 0.500 0.101
Y1 Y 0.000 0.302 0.333
Tl1 Tl 0.000 0.000 0.257
Tl2 Tl 0.000 0.221 0.500

Entry 5:
# Pm3Y2Tl2 PBE relaxed
# * calculated formation energy: -145 kJ/mol of formula units
# * ρ: 7.94 g/cm³
data_Pm3Y2Tl2
_symmetry_space_group_name_H-M 'C 1 2/m 1'
_symmetry_Int_Tables_number 12
_cell_length_a 9.527
_cell_length_b 5.507
_cell_length_c 8.752
_cell_angle_alpha 90.00
_cell_angle_beta 111.37
_cell_angle_gamma 90.00
loop_
_symmetry_equiv_pos_as_xyz
'x,y,z'
'-x,-y,-z'
'-x,y,-z'
'x,-y,z'
'x+1/2,y+1/2,z'
'-x+1/2,-y+1/2,-z'
'-x+1/2,y+1/2,-z'
'x+1/2,-y+1/2,z'
loop_
_atom_site_label
_atom_site_type_symbol
_atom_site_fract_x
_atom_site_fract_y
_atom_site_fract_z
Pm1 Pm 0.000 0.000 0.000
Pm2 Pm 0.156 0.000 0.469
Y1 Y 0.075 0.500 0.724
Tl1 Tl 0.214 0.500 0.144

Entry 6:
# Pm6Y12Tl PBE relaxed
# * calculated formation energy: 131 kJ/mol of formula units
# * ρ: 5.69 g/cm³
data_Pm6Y12Tl
_symmetry_space_group_name_H-M 'R -3'
_symmetry_Int_Tables_number 148
_symmetry_space_group_name_Hall '-R 3'
_cell_length_a 11.9800
_cell_length_b 11.9800
_cell_length_c 15.0768
_cell_angle_alpha 90.00
_cell_angle_beta 90.00
_cell_angle_gamma 120.00
loop_
_atom_site_label
_atom_site_type_symbol
_atom_site_fract_x
_atom_site_fract_y
_atom_site_fract_z
Pm1 Pm 0.0155 0.4243 0.1844
Y1 Y 0.0024 0.1747 0.3138
Y2 Y 0.0459 0.8509 0.9155
Tl1 Tl 0.0000 0.0000 0.5000

Entry 7:
# Pm5Y3Tl2 PBE relaxed
# * calculated formation energy: 123 kJ/mol of formula units
# * ρ: 6.97 g/cm³
data_Pm5Y3Tl2
_symmetry_space_group_name_H-M 'I b a m'
_symmetry_Int_Tables_number 72
_symmetry_space_group_name_Hall '-I 2 2c'
_cell_length_a 13.185
_cell_length_b 15.347
_cell_length_c 6.596
_cell_angle_alpha 90.00
_cell_angle_beta 90.00
_cell_angle_gamma 90.00
loop_
_atom_site_label
_atom_site_type_symbol
_atom_site_fract_x
_atom_site_fract_y
_atom_site_fract_z
Pm1 Pm 0.000 0.000 0.250
Pm2 Pm 0.119 0.164 0.000
Pm3 Pm 0.249 0.000 0.250
Y1 Y 0.000 0.500 0.250
Y2 Y 0.114 0.273 0.500
Tl1 Tl 0.125 0.357 0.000

Entry 8:
# PmY5Tl6 PBE relaxed
# * calculated formation energy: -437 kJ/mol of formula units
# * ρ: 9.07 g/cm³
data_PmY5Tl6
_symmetry_space_group_name_H-M 'C 1 2/m 1'
_symmetry_Int_Tables_number 12
_cell_length_a 9.308
_cell_length_b 16.225
_cell_length_c 5.394
_cell_angle_alpha 90.00
_cell_angle_beta 125.26
_cell_angle_gamma 90.00
loop_
_symmetry_equiv_pos_as_xyz
'x,y,z'
'-x,-y,-z'
'-x,y,-z'
'x,-y,z'
'x+1/2,y+1/2,z'
'-x+1/2,-y+1/2,-z'
'-x+1/2,y+1/2,-z'
'x+1/2,-y+1/2,z'
loop_
_atom_site_label
_atom_site_type_symbol
_atom_site_fract_x
_atom_site_fract_y
_atom_site_fract_z
Pm1 Pm 0.000 0.000 0.000
Y1 Y 0.000 0.165 0.500
Y2 Y 0.000 0.333 0.000
Y3 Y 0.000 0.500 0.500
Tl1 Tl 0.244 0.500 0.244
Tl2 Tl 0.247 0.331 0.747

Entry 9:
# Pm12YTl3 PBE relaxed
# * calculated formation energy: -220 kJ/mol of formula units
# * ρ: 8.06 g/cm³
data_Pm12YTl3
_symmetry_space_group_name_H-M 'P 4/m m m'
_symmetry_Int_Tables_number 123
_symmetry_space_group_name_Hall '-P 4 2'
_cell_length_a 4.973
_cell_length_b 4.973
_cell_length_c 20.341
_cell_angle_alpha 90.00
_cell_angle_beta 90.00
_cell_angle_gamma 90.00
loop_
_atom_site_label
_atom_site_type_symbol
_atom_site_fract_x
_atom_site_fract_y
_atom_site_fract_z
Pm1 Pm 0.000 0.000 0.000
Pm2 Pm 0.000 0.000 0.245
Pm3 Pm 0.000 0.000 0.500
Pm4 Pm 0.000 0.500 0.123
Pm5 Pm 0.000 0.500 0.369
Y1 Y 0.500 0.500 0.500
Tl1 Tl 0.500 0.500 0.000
Tl2 Tl 0.500 0.500 0.243

Entry 10:
# Pm5Y5Tl PBE relaxed
# * calculated formation energy: 334 kJ/mol of formula units
# * ρ: 6.11 g/cm³
data_Pm5Y5Tl
_symmetry_space_group_name_H-M 'P -6 m 2'
_symmetry_Int_Tables_number 187
_symmetry_space_group_name_Hall 'P -6 2'
_cell_length_a 6.1857
_cell_length_b 6.1857
_cell_length_c 11.2777
_cell_angle_alpha 90.00
_cell_angle_beta 90.00
_cell_angle_gamma 120.00
loop_
_atom_site_label
_atom_site_type_symbol
_atom_site_fract_x
_atom_site_fract_y
_atom_site_fract_z
Pm1 Pm 0.0000 0.0000 0.2335
Pm2 Pm 0.3415 0.1708 0.0000
Y1 Y 0.0000 0.0000 0.5000
Y2 Y 0.3333 0.6667 0.2053
Y3 Y 0.6667 0.3333 0.3195
Tl1 Tl 0.3333 0.6667 0.5000

Entry 11:
# Pm7YTl5 PBE relaxed
# * calculated formation energy: -224 kJ/mol of formula units
# * ρ: 8.66 g/cm³
data_Pm7YTl5
_symmetry_space_group_name_H-M 'I m m 2'
_symmetry_Int_Tables_number 44
_cell_length_a 6.757
_cell_length_b 10.840
_cell_length_c 11.128
_cell_angle_alpha 90.00
_cell_angle_beta 90.00
_cell_angle_gamma 90.00
loop_
_symmetry_equiv_pos_as_xyz
'x,y,z'
'-x,-y,z'
'-x,y,z'
'x,-y,z'
'x+1/2,y+1/2,z+1/2'
'-x+1/2,-y+1/2,z+1/2'
'-x+1/2,y+1/2,z+1/2'
'x+1/2,-y+1/2,z+1/2'
loop_
_atom_site_label
_atom_site_type_symbol
_atom_site_fract_x
_atom_site_fract_y
_atom_site_fract_z
Pm1 Pm 0.000 0.000 0.000
Pm2 Pm 0.000 0.000 0.332
Pm3 Pm 0.000 0.313 0.110
Pm4 Pm 0.000 0.335 0.625
Pm5 Pm 0.000 0.500 0.351
Y1 Y 0.000 0.000 0.671
Tl1 Tl 0.000 0.500 0.880
Tl2 Tl 0.243 0.238 0.865

Entry 12:
# Pm4Y3Tl4 PBE relaxed
# * calculated formation energy: -279 kJ/mol of formula units
# * ρ: 8.20 g/cm³
data_Pm4Y3Tl4
_symmetry_space_group_name_H-M 'I m m m'
_symmetry_Int_Tables_number 71
_symmetry_space_group_name_Hall '-I 2 2'
_cell_length_a 3.680
_cell_length_b 9.477
_cell_length_c 19.338
_cell_angle_alpha 90.00
_cell_angle_beta 90.00
_cell_angle_gamma 90.00
loop_
_atom_site_label
_atom_site_type_symbol
_atom_site_fract_x
_atom_site_fract_y
_atom_site_fract_z
Pm1 Pm 0.000 0.177 0.162
Y1 Y 0.000 0.000 0.406
Y2 Y 0.000 0.500 0.500
Tl1 Tl 0.000 0.280 0.000
Tl2 Tl 0.000 0.500 0.225

Entry 13:
# Pm2Y2Tl7 PBE relaxed
# * calculated formation energy: -123 kJ/mol of formula units
# * ρ: 9.34 g/cm³
data_Pm2Y2Tl7
_symmetry_space_group_name_H-M 'C 1 2/m 1'
_symmetry_Int_Tables_number 12
_cell_length_a 11.710
_cell_length_b 9.423
_cell_length_c 6.159
_cell_angle_alpha 90.00
_cell_angle_beta 96.71
_cell_angle_gamma 90.00
loop_
_symmetry_equiv_pos_as_xyz
'x,y,z'
'-x,-y,-z'
'-x,y,-z'
'x,-y,z'
'x+1/2,y+1/2,z'
'-x+1/2,-y+1/2,-z'
'-x+1/2,y+1/2,-z'
'x+1/2,-y+1/2,z'
loop_
_atom_site_label
_atom_site_type_symbol
_atom_site_fract_x
_atom_site_fract_y
_atom_site_fract_z
Pm1 Pm 0.228 0.000 0.183
Y1 Y 0.000 0.311 0.500
Tl1 Tl 0.000 0.500 0.000
Tl2 Tl 0.038 0.000 0.748
Tl3 Tl 0.229 0.333 0.276

Entry 14:
# Pm2Y2Tl PBE relaxed
# * calculated formation energy: -27 kJ/mol of formula units
# * ρ: 7.06 g/cm³
data_Pm2Y2Tl
_symmetry_space_group_name_H-M 'C 1 2/m 1'
_symmetry_Int_Tables_number 12
_cell_length_a 8.639
_cell_length_b 9.489
_cell_length_c 8.589
_cell_angle_alpha 90.00
_cell_angle_beta 116.15
_cell_angle_gamma 90.00
loop_
_symmetry_equiv_pos_as_xyz
'x,y,z'
'-x,-y,-z'
'-x,y,-z'
'x,-y,z'
'x+1/2,y+1/2,z'
'-x+1/2,-y+1/2,-z'
'-x+1/2,y+1/2,-z'
'x+1/2,-y+1/2,z'
loop_
_atom_site_label
_atom_site_type_symbol
_atom_site_fract_x
_atom_site_fract_y
_atom_site_fract_z
Pm1 Pm 0.079 0.186 0.212
Y1 Y 0.156 0.500 0.932
Y2 Y 0.222 0.000 0.610
Tl1 Tl 0.000 0.329 0.500

Entry 15:
# Pm3Y3Tl2 PBE relaxed
# * calculated formation energy: -98 kJ/mol of formula units
# * ρ: 7.23 g/cm³
data_Pm3Y3Tl2
_symmetry_space_group_name_H-M 'C m c m'
_symmetry_Int_Tables_number 63
_symmetry_space_group_name_Hall '-C 2c 2'
_cell_length_a 5.218
_cell_length_b 12.124
_cell_length_c 16.116
_cell_angle_alpha 90.00
_cell_angle_beta 90.00
_cell_angle_gamma 90.00
loop_
_atom_site_label
_atom_site_type_symbol
_atom_site_fract_x
_atom_site_fract_y
_atom_site_fract_z
Pm1 Pm 0.000 0.041 0.105
Pm2 Pm 0.000 0.273 0.250
Y1 Y 0.000 0.363 0.035
Y2 Y 0.000 0.446 0.750
Tl1 Tl 0.000 0.230 0.632

Entry 16:
# Pm6Y3Tl PBE relaxed
# * calculated formation energy: 23 kJ/mol of formula units
# * ρ: 6.80 g/cm³
data_Pm6Y3Tl
_symmetry_space_group_name_H-M 'C m c 21'
_symmetry_Int_Tables_number 36
_cell_length_a 9.899
_cell_length_b 20.682
_cell_length_c 6.402
_cell_angle_alpha 90.00
_cell_angle_beta 90.00
_cell_angle_gamma 90.00
loop_
_symmetry_equiv_pos_as_xyz
'x,y,z'
'-x,-y,z+1/2'
'-x,y,z'
'x,-y,z+1/2'
'x+1/2,y+1/2,z'
'-x+1/2,-y+1/2,z+1/2'
'-x+1/2,y+1/2,z'
'x+1/2,-y+1/2,z+1/2'
loop_
_atom_site_label
_atom_site_type_symbol
_atom_site_fract_x
_atom_site_fract_y
_atom_site_fract_z
Pm1 Pm 0.000 0.019 0.000
Pm2 Pm 0.000 0.286 0.030
Pm3 Pm 0.183 0.445 0.256
Pm4 Pm 0.186 0.283 0.469
Y1 Y 0.000 0.413 0.729
Y2 Y 0.169 0.127 0.329
Tl1 Tl 0.000 0.154 0.758

Entry 17:
# Pm4YTl2 PBE relaxed
# * calculated formation energy: 54 kJ/mol of formula units
# * ρ: 7.92 g/cm³
data_Pm4YTl2
_symmetry_space_group_name_H-M 'C 1 2/m 1'
_symmetry_Int_Tables_number 12
_cell_length_a 6.780
_cell_length_b 10.717
_cell_length_c 6.265
_cell_angle_alpha 90.00
_cell_angle_beta 97.20
_cell_angle_gamma 90.00
loop_
_symmetry_equiv_pos_as_xyz
'x,y,z'
'-x,-y,-z'
'-x,y,-z'
'x,-y,z'
'x+1/2,y+1/2,z'
'-x+1/2,-y+1/2,-z'
'-x+1/2,y+1/2,-z'
'x+1/2,-y+1/2,z'
loop_
_atom_site_label
_atom_site_type_symbol
_atom_site_fract_x
_atom_site_fract_y
_atom_site_fract_z
Pm1 Pm 0.000 0.212 0.000
Pm2 Pm 0.250 0.250 0.500
Y1 Y 0.000 0.000 0.500
Tl1 Tl 0.076 0.500 0.765

Entry 18:
# Pm9Y2Tl PBE relaxed
# * calculated formation energy: -54 kJ/mol of formula units
# * ρ: 7.11 g/cm³
data_Pm9Y2Tl
_symmetry_space_group_name_H-M 'P 4/m m m'
_symmetry_Int_Tables_number 123
_symmetry_space_group_name_Hall '-P 4 2'
_cell_length_a 5.045
_cell_length_b 5.045
_cell_length_c 15.488
_cell_angle_alpha 90.00
_cell_angle_beta 90.00
_cell_angle_gamma 90.00
loop_
_atom_site_label
_atom_site_type_symbol
_atom_site_fract_x
_atom_site_fract_y
_atom_site_fract_z
Pm1 Pm 0.000 0.000 0.000
Pm2 Pm 0.000 0.000 0.330
Pm3 Pm 0.000 0.500 0.162
Pm4 Pm 0.000 0.500 0.500
Y1 Y 0.500 0.500 0.332
Tl1 Tl 0.500 0.500 0.000

Entry 19:
# Pm4YTl4 PBE relaxed
# * calculated formation energy: -169 kJ/mol of formula units
# * ρ: 9.04 g/cm³
data_Pm4YTl4
_symmetry_space_group_name_H-M 'P 42/n'
_symmetry_Int_Tables_number 86
_cell_length_a 9.380
_cell_length_b 9.380
_cell_length_c 6.204
_cell_angle_alpha 90.00
_cell_angle_beta 90.00
_cell_angle_gamma 90.00
loop_
_symmetry_equiv_pos_as_xyz
'x,y,z'
'-x,-y,-z'
'-y,x+1/2,z+1/2'
'y,-x+1/2,-z+1/2'
'-x+1/2,-y+1/2,z'
'x+1/2,y+1/2,-z'
'y+1/2,-x,z+1/2'
'-y+1/2,x,-z+1/2'
loop_
_atom_site_label
_atom_site_type_symbol
_atom_site_fract_x
_atom_site_fract_y
_atom_site_fract_z
Pm1 Pm 0.083 0.826 0.120
Y1 Y 0.250 0.250 0.750
Tl1 Tl 0.045 0.149 0.370